First-principles (PBE-GGA) data for Ti2Pd3Au after structural relaxation, as listed in Alexandria.

The structure in CIF format:
```
data_Ti2Pd3Au
_symmetry_space_group_name_H-M 'P 1'
_symmetry_Int_Tables_number 1
_symmetry_space_group_name_Hall 'P 1'
_cell_length_a 4.656
_cell_length_b 7.372
_cell_length_c 7.526
_cell_angle_alpha 125.46
_cell_angle_beta 90.00
_cell_angle_gamma 108.41
loop_
_atom_site_label
_atom_site_fract_x
_atom_site_fract_y
_atom_site_fract_z
Ti1 0.527 0.055 0.848
Ti2 0.473 0.945 0.152
Ti3 0.798 0.596 0.165
Ti4 0.202 0.404 0.835
Pd1 0.300 0.599 0.629
Pd2 0.962 0.924 0.630
Pd3 0.624 0.247 0.650
Pd4 0.376 0.753 0.350
Pd5 0.038 0.076 0.370
Pd6 0.700 0.401 0.371
Au1 0.871 0.742 0.892
Au2 0.129 0.258 0.108
```

## Properties
The energy relative to the elements is -418.7 meV/atom. For the density of states at the Fermi level, the calculation gives 5.3 states/eV/f.u. As for the spin magnetization: 1.258 μB/cell. The final energy is -6.1929 eV/atom.


First-principles (PBE-GGA) data for BeAg2Pt after structural relaxation, as listed in Alexandria.

The structure in CIF format:
```
data_BeAg2Pt
_symmetry_space_group_name_H-M 'P 1'
_symmetry_Int_Tables_number 1
_symmetry_space_group_name_Hall 'P 1'
_cell_length_a 3.799
_cell_length_b 3.805
_cell_length_c 4.173
_cell_angle_alpha 90.00
_cell_angle_beta 90.00
_cell_angle_gamma 90.00
loop_
_atom_site_label
_atom_site_fract_x
_atom_site_fract_y
_atom_site_fract_z
Be1 0.500 0.000 0.500
Ag1 0.000 0.000 0.000
Ag2 0.500 0.500 0.000
Pt1 0.000 0.500 0.500
```

## Properties
The energy relative to the elements is 22.7 meV/atom. For the density of states at the Fermi level, the calculation gives 1.0 states/eV/f.u. As for the spin magnetization: 0.000 μB/cell. The final energy is -3.8447 eV/atom.


First-principles (PBE-GGA) data for YScRe2 after structural relaxation, as listed in Alexandria.

The structure in CIF format:
```
data_YScRe2
_symmetry_space_group_name_H-M 'P 1'
_symmetry_Int_Tables_number 1
_symmetry_space_group_name_Hall 'P 1'
_cell_length_a 3.114
_cell_length_b 3.114
_cell_length_c 8.656
_cell_angle_alpha 90.00
_cell_angle_beta 90.00
_cell_angle_gamma 90.00
loop_
_atom_site_label
_atom_site_fract_x
_atom_site_fract_y
_atom_site_fract_z
Re1 0.000 0.000 0.050
Re2 0.500 0.500 0.214
Sc1 0.000 0.000 0.433
Y1 0.500 0.500 0.803
```

## Properties
The energy relative to the elements is -46.2 meV/atom. For the density of states at the Fermi level, the calculation gives 2.7 states/eV/f.u. As for the spin magnetization: 0.000 μB/cell. The final energy is -9.4692 eV/atom.


First-principles (PBE-GGA) data for LiTb2Si4Pt3 after structural relaxation, as listed in Alexandria.

The structure in CIF format:
```
data_LiTb2Si4Pt3
_symmetry_space_group_name_H-M 'P 1'
_symmetry_Int_Tables_number 1
_symmetry_space_group_name_Hall 'P 1'
_cell_length_a 4.154
_cell_length_b 4.154
_cell_length_c 10.047
_cell_angle_alpha 90.00
_cell_angle_beta 90.00
_cell_angle_gamma 90.00
loop_
_atom_site_label
_atom_site_fract_x
_atom_site_fract_y
_atom_site_fract_z
Li1 0.500 0.500 0.500
Tb1 0.500 0.000 0.251
Tb2 0.000 0.500 0.749
Si1 0.500 0.500 0.000
Si2 0.000 0.000 0.000
Si3 0.500 0.000 0.636
Si4 0.000 0.500 0.364
Pt1 0.000 0.000 0.500
Pt2 0.500 0.000 0.876
Pt3 0.000 0.500 0.124
```

## Properties
For the density of states at the Fermi level, the calculation gives 3.5 states/eV/f.u. Its uncorrected formation energy is -995 meV/atom. As for the spin magnetization: 0.000 μB/cell. The final energy is -6.0937 eV/atom.


First-principles (PBE-GGA) data for Nd4Y7Er after structural relaxation, as listed in Alexandria.

The structure in CIF format:
```
data_Nd4Y7Er
_symmetry_space_group_name_H-M 'P 1'
_symmetry_Int_Tables_number 1
_symmetry_space_group_name_Hall 'P 1'
_cell_length_a 5.468
_cell_length_b 13.366
_cell_length_c 6.385
_cell_angle_alpha 94.67
_cell_angle_beta 64.65
_cell_angle_gamma 78.20
loop_
_atom_site_label
_atom_site_fract_x
_atom_site_fract_y
_atom_site_fract_z
Nd1 0.741 0.221 0.297
Nd2 0.259 0.779 0.703
Nd3 0.586 0.737 0.091
Nd4 0.414 0.263 0.909
Y1 0.833 0.897 0.437
Y2 0.167 0.103 0.563
Y3 0.960 0.628 0.452
Y4 0.040 0.372 0.548
Y5 0.329 0.532 0.811
Y6 0.500 0.000 0.000
Y7 0.671 0.468 0.189
Er1 0.000 0.000 0.000
```

## Properties
The energy relative to the elements is 224.8 meV/atom. For the density of states at the Fermi level, the calculation gives 17.6 states/eV/f.u. As for the spin magnetization: 0.000 μB/cell. The final energy is -5.5154 eV/atom.


First-principles (PBE-GGA) data for HoEr4P5 after structural relaxation, as listed in Alexandria.

The structure in CIF format:
```
data_HoEr4P5
_symmetry_space_group_name_H-M 'P 1'
_symmetry_Int_Tables_number 1
_symmetry_space_group_name_Hall 'P 1'
_cell_length_a 5.619
_cell_length_b 6.881
_cell_length_c 6.881
_cell_angle_alpha 80.40
_cell_angle_beta 65.90
_cell_angle_gamma 65.90
loop_
_atom_site_label
_atom_site_fract_x
_atom_site_fract_y
_atom_site_fract_z
Ho1 0.001 0.000 0.000
Er1 0.401 0.400 0.800
Er2 0.801 0.800 0.600
Er3 0.201 0.200 0.400
Er4 0.601 0.600 0.200
P1 0.901 0.401 0.800
P2 0.302 0.800 0.599
P3 0.700 0.200 0.401
P4 0.101 0.599 0.200
P5 0.501 0.000 0.000
```

## Properties
The energy relative to the elements is -1614.3 meV/atom. For the density of states at the Fermi level, the calculation gives 0.6 states/eV/f.u. As for the spin magnetization: 0.000 μB/cell. The final energy is -6.6022 eV/atom.


First-principles (PBE-GGA) data for Nd2MgC after structural relaxation, as listed in Alexandria.

The structure in CIF format:
```
data_Nd2MgC
_symmetry_space_group_name_H-M 'P 1'
_symmetry_Int_Tables_number 1
_symmetry_space_group_name_Hall 'P 1'
_cell_length_a 3.658
_cell_length_b 3.658
_cell_length_c 9.265
_cell_angle_alpha 90.03
_cell_angle_beta 101.35
_cell_angle_gamma 120.01
loop_
_atom_site_label
_atom_site_fract_x
_atom_site_fract_y
_atom_site_fract_z
Nd1 0.772 0.386 0.158
Nd2 0.227 0.613 0.840
Mg1 0.668 0.834 0.502
C1 0.000 0.000 0.999
```

## Properties
The energy relative to the elements is -67.8 meV/atom. For the density of states at the Fermi level, the calculation gives 2.6 states/eV/f.u. As for the spin magnetization: 0.000 μB/cell. The final energy is -5.1564 eV/atom.


First-principles (PBE-GGA) data for CsRb2DyBr6 after structural relaxation, as listed in Alexandria.

The structure in CIF format:
```
data_CsRb2DyBr6
_symmetry_space_group_name_H-M 'P 1'
_symmetry_Int_Tables_number 1
_symmetry_space_group_name_Hall 'P 1'
_cell_length_a 8.258
_cell_length_b 8.815
_cell_length_c 11.798
_cell_angle_alpha 90.00
_cell_angle_beta 89.14
_cell_angle_gamma 90.00
loop_
_atom_site_label
_atom_site_fract_x
_atom_site_fract_y
_atom_site_fract_z
Cs1 0.500 0.000 0.000
Cs2 0.000 0.500 0.500
Rb1 0.031 0.923 0.256
Rb2 0.531 0.577 0.756
Rb3 0.969 0.077 0.744
Rb4 0.469 0.423 0.244
Dy1 0.500 0.000 0.500
Dy2 0.000 0.500 0.000
Br1 0.273 0.670 0.060
Br2 0.773 0.830 0.560
Br3 0.727 0.330 0.940
Br4 0.227 0.170 0.440
Br5 0.348 0.735 0.417
Br6 0.848 0.765 0.917
Br7 0.652 0.265 0.583
Br8 0.152 0.235 0.083
Br9 0.862 0.562 0.215
Br10 0.362 0.938 0.715
Br11 0.138 0.438 0.785
Br12 0.638 0.062 0.285
```

## Properties
For the density of states at the Fermi level, the calculation gives 0.0 states/eV/f.u. Its uncorrected formation energy is -1845 meV/atom. As for the spin magnetization: 0.000 μB/cell. The final energy is -3.5880 eV/atom.


First-principles (PBE-GGA) data for Nd5Cd2Ga after structural relaxation, as listed in Alexandria.

The structure in CIF format:
```
data_Nd5Cd2Ga
_symmetry_space_group_name_H-M 'P 1'
_symmetry_Int_Tables_number 1
_symmetry_space_group_name_Hall 'P 1'
_cell_length_a 7.849
_cell_length_b 7.849
_cell_length_c 9.626
_cell_angle_alpha 114.06
_cell_angle_beta 114.06
_cell_angle_gamma 90.00
loop_
_atom_site_label
_atom_site_fract_x
_atom_site_fract_y
_atom_site_fract_z
Nd1 0.509 0.675 0.683
Nd2 0.825 0.991 0.317
Nd3 0.000 0.000 0.000
Nd4 0.500 0.500 0.000
Nd5 0.175 0.009 0.683
Nd6 0.675 0.175 0.683
Nd7 0.009 0.509 0.683
Nd8 0.325 0.825 0.317
Nd9 0.991 0.491 0.317
Nd10 0.491 0.325 0.317
Cd1 0.126 0.374 0.000
Cd2 0.626 0.126 0.000
Cd3 0.374 0.874 0.000
Cd4 0.874 0.626 0.000
Ga1 0.750 0.750 0.500
Ga2 0.250 0.250 0.500
```

## Properties
The energy relative to the elements is -234.6 meV/atom. For the density of states at the Fermi level, the calculation gives 8.3 states/eV/f.u. As for the spin magnetization: 0.000 μB/cell. The final energy is -3.8217 eV/atom.


First-principles (PBE-GGA) data for Li4SmHo3Se8 after structural relaxation, as listed in Alexandria.

The structure in CIF format:
```
data_Li4SmHo3Se8
_symmetry_space_group_name_H-M 'P 1'
_symmetry_Int_Tables_number 1
_symmetry_space_group_name_Hall 'P 1'
_cell_length_a 8.159
_cell_length_b 8.026
_cell_length_c 8.159
_cell_angle_alpha 120.55
_cell_angle_beta 120.00
_cell_angle_gamma 90.00
loop_
_atom_site_label
_atom_site_fract_x
_atom_site_fract_y
_atom_site_fract_z
Li1 0.500 0.000 0.000
Li2 0.500 0.000 0.500
Li3 0.000 0.000 0.000
Li4 0.000 0.000 0.500
Sm1 0.000 0.500 0.000
Ho1 0.500 0.500 0.000
Ho2 0.500 0.500 0.500
Ho3 0.000 0.500 0.500
Se1 0.254 0.754 0.000
Se2 0.254 0.754 0.508
Se3 0.250 0.249 0.499
Se4 0.746 0.754 0.000
Se5 0.254 0.246 0.000
Se6 0.750 0.751 0.501
Se7 0.746 0.246 0.492
Se8 0.746 0.246 0.000
```

## Properties
For the density of states at the Fermi level, the calculation gives 0.0 states/eV/f.u. Its uncorrected formation energy is -1691 meV/atom. As for the spin magnetization: 0.000 μB/cell. The final energy is -5.0648 eV/atom.